A plane-wave DFT calculation with PBE was carried out for CrAsBr2N after structural relaxation.

Summary:
- DOS(E_F) (states/eV per cell) = 7.24
- crystal system = tetragonal
- formation energy without anion corrections (eV per formula unit) = 7.8
- raw total energy (hartree per atom) = -0.134
- calculated volume (Å³ per atom) = 17.941
- ΔE to the lowest computed polymorph (meV/atom) = 54.7
- size of the total moment (μB/cell) = 0.20

Geometry as POSCAR:
```
CrAsBr2N
1.0
-4.1365 -0.0445 1.5300
-1.0248 -3.1945 -2.8634
1.1888 -3.1792 3.1214
Cr As Br N
1 1 2 1
direct
0.5000 0.5000 0.5000
0.0000 0.0000 0.5000
0.5000 0.0000 0.0000
0.0000 0.5000 0.0000
0.0000 0.0000 0.0000
```